This record from the Alexandria database describes a relaxed Nd3ErMg6 crystal. The functional is PBE.

Output
Space-group type = P2_1/m (11)
Energy of formation = -0.0746 eV/atom
E = -2.918 eV per atom
DOS at the Fermi energy = 20.125 states/eV/cell

Cell lengths 5.324, 9.430, 11.396 Å; angles 105.28, 90.00, 90.00 degrees
Atoms (fractional coordinates):
Mg 0.750 0.765 0.517
Mg 0.750 0.134 0.696
Nd 0.250 0.539 0.395
Nd 0.750 0.461 0.605
Er 0.250 0.952 0.598
Er 0.750 0.048 0.402
Nd 0.750 0.245 0.995
Mg 0.750 0.955 0.106
Mg 0.250 0.440 0.096
Nd 0.250 0.350 0.788
Mg 0.250 0.671 0.706
Nd 0.750 0.650 0.212
Mg 0.750 0.854 0.810
Mg 0.250 0.045 0.894
Mg 0.250 0.866 0.304
Mg 0.250 0.235 0.483
Nd 0.250 0.755 0.005
Mg 0.750 0.329 0.294
Mg 0.250 0.146 0.190
Mg 0.750 0.560 0.904

=====

This record from the Alexandria database describes a relaxed NdEr5Mg6 crystal. The functional is PBE.

Output
Space-group type = Cmmm (65)
Energy of formation = -0.0729 eV/atom
E = -3.169 eV per atom
DOS at the Fermi energy = 15.900 states/eV/cell

Cell lengths 5.353, 7.552, 8.473 Å; angles 90.00, 71.59, 90.00 degrees
Atoms (fractional coordinates):
Er 0.000 0.500 0.000
Mg 0.832 0.253 0.337
Er 0.335 0.500 0.330
Mg 0.500 0.747 0.000
Mg 0.168 0.253 0.663
Mg 0.500 0.253 0.000
Mg 0.168 0.747 0.663
Mg 0.832 0.747 0.337
Er 0.665 0.500 0.670
Er 0.668 0.000 0.663
Nd 0.000 0.000 0.000
Er 0.332 0.000 0.337

=====

This record from the Alexandria database describes a relaxed Nd3ErMg8 crystal. The functional is PBE.

Output
Space-group type = R3m (160)
Energy of formation = -0.0919 eV/atom
E = -2.727 eV per atom
DOS at the Fermi energy = 11.714 states/eV/cell

Cell lengths 6.112, 6.112, 10.545 Å; angles 73.16, 73.16, 60.00 degrees
Atoms (fractional coordinates):
Mg 0.440 0.938 0.685
Mg 0.187 0.187 0.438
Nd 0.999 0.999 0.002
Mg 0.437 0.437 0.190
Mg 0.938 0.440 0.685
Mg 0.938 0.938 0.685
Mg 0.936 0.437 0.190
Mg 0.437 0.936 0.190
Mg 0.688 0.688 0.937
Nd 0.375 0.375 0.874
Nd 0.501 0.501 0.498
Er 0.875 0.875 0.375

=====

This record from the Alexandria database describes a relaxed Nd8Er3Mg2 crystal. The functional is PBE.

Output
Space-group type = P-1 (2)
Energy of formation = 0.0129 eV/atom
E = -4.219 eV per atom
DOS at the Fermi energy = 16.811 states/eV/cell

Cell lengths 8.625, 10.507, 6.747 Å; angles 60.22, 77.82, 53.42 degrees
Atoms (fractional coordinates):
Mg 0.408 0.432 0.698
Nd 0.060 0.849 0.409
Er 0.000 0.500 0.500
Er 0.690 0.993 0.071
Nd 0.771 0.336 0.979
Nd 0.539 0.173 0.473
Nd 0.940 0.151 0.591
Nd 0.190 0.294 0.116
Mg 0.592 0.568 0.302
Er 0.310 0.007 0.929
Nd 0.810 0.706 0.884
Nd 0.461 0.827 0.527
Nd 0.229 0.664 0.021

=====

This record from the Alexandria database describes a relaxed Nd2ErMg crystal. The functional is PBE.

Output
Space-group type = Amm2 (38)
Energy of formation = 0.0900 eV/atom
Relative energy among the computed polymorphs = 0.48 eV/f.u.
E = -3.833 eV per atom
DOS at the Fermi energy = 6.103 states/eV/cell

Cell lengths 3.561, 3.480, 10.435 Å; angles 99.60, 90.00, 90.00 degrees
Atoms (fractional coordinates):
Nd 0.500 0.687 0.375
Nd 0.500 0.457 0.914
Er 0.000 0.310 0.620
Mg 0.000 0.071 0.142

=====

This record from the Alexandria database describes a relaxed NdErMg crystal. The functional is PBE.

Output
Space-group type = Cmcm (63)
Energy of formation = -0.0458 eV/atom
Relative energy among the computed polymorphs = 0.00 eV/f.u.
E = -3.688 eV per atom
DOS at the Fermi energy = 7.816 states/eV/cell

Cell lengths 5.263, 5.240, 6.981 Å; angles 112.03, 90.00, 90.00 degrees
Atoms (fractional coordinates):
Nd 0.750 0.590 0.680
Nd 0.250 0.410 0.320
Er 0.250 0.092 0.684
Mg 0.750 0.250 0.000
Er 0.750 0.908 0.316
Mg 0.250 0.750 0.000